Material: CrGePdO
Method: DFT, PBE with a Hubbard U
State: optimized geometry

a b c (Å): 4.619 2.928 5.057
angles (deg): 90.00 116.95 90.00
Site moments in Bohr magnetons follow the coordinates.
Positions (direct):
Ge  0.029  0.000  0.846  -0.06
O  0.937  0.000  0.192  -0.07
Pd  0.458  0.000  0.519  0.00
Cr  0.610  0.500  0.108  3.66

Summary:
- raw total energy (eV per atom) = -6.091
- space-group type = Pm, No. 6
- energy above the lowest structure with this stoichiometry (meV/atom) = 219